Arrangement a

The following is a PBE calculation of crystalline FeIr3Rh6 at its relaxed geometry, from Alexandria via LeMat-Bulk.

- total magnetic moment (μB per cell) = 2.82
- DOS at the Fermi energy (states/eV/cell) = 12.2

Cell lengths 4.9574, 4.9574, 6.9103 Å; angles 90.00, 90.00, 120.00 degrees
Last column: nearest neighbours and their distance in Å.
Space group P-31m (No. 162)
Symmetry-distinct sites (fractional):
Fe 0.0000 0.0000 0.0000  6 Rh 2.34
Ir 0.0000 0.0000 0.5000  6 Ir 2.86, 6 Rh 2.90
Ir 0.3333 0.6667 0.5000  6 Rh 2.64, 6 Ir 2.86
Rh 0.0000 0.3929 0.8115  1 Fe 2.34



Arrangement b

The following is a PBE calculation of crystalline FeIr3Rh6 at its relaxed geometry, from Alexandria via LeMat-Bulk.

- total magnetic moment (μB per cell) = 7.07
- DOS at the Fermi energy (states/eV/cell) = 29.7

Cell lengths 7.2132, 4.4028, 9.4223 Å; angles 90.00, 108.89, 90.00 degrees
Last column: nearest neighbours and their distance in Å.
Space group P2_1/m (No. 11)
Symmetry-distinct sites (fractional):
Fe 0.1006 0.2500 0.0667  2 Ir 2.67-2.70, 8 Rh 2.68-2.73, 2 Fe 2.71
Ir 0.1008 0.7500 0.7365  8 Rh 2.68-2.75, 3 Ir 2.69-2.75, 1 Fe 2.70
Ir 0.2957 0.2500 0.8694  9 Rh 2.66-2.80, 1 Fe 2.67, 2 Ir 2.69
Ir 0.3028 0.7500 0.5344  11 Rh 2.69-2.79, 1 Ir 2.75
Rh 0.0945 0.7500 0.2280  4 Ir 2.66-2.79, 3 Fe 2.68, 5 Rh 2.69-2.73
Rh 0.0982 0.2500 0.5669  5 Rh 2.70-2.78, 7 Ir 2.72-2.75
Rh 0.2943 0.7500 0.0316  4 Ir 2.68-2.80, 3 Fe 2.68-2.69, 5 Rh 2.69-2.73
Rh 0.2963 0.2500 0.3634  7 Rh 2.69-2.77, 1 Fe 2.69, 4 Ir 2.71-2.74
Rh 0.4949 0.7500 0.3324  4 Ir 2.69-2.79, 8 Rh 2.69-2.78
Rh 0.4994 0.7500 0.8344  5 Ir 2.70-2.73, 6 Rh 2.71-2.73, 1 Fe 2.73



Least stable of them? arrangement a.



Arrangement a

The following is a PBE calculation of crystalline FeIr3Rh at its relaxed geometry, from Alexandria via LeMat-Bulk.

- total magnetic moment (μB per cell) = 5.62
- DOS at the Fermi energy (states/eV/cell) = 10.9

Cell lengths 4.7125, 5.1442, 6.9903 Å; angles 108.94, 90.17, 117.13 degrees
Last column: nearest neighbours and their distance in Å.
Space group P-1 (No. 2)
Symmetry-distinct sites (fractional):
Fe 0.0629 0.2931 0.0482  2 Fe 2.64-2.72, 3 Rh 2.65-2.72, 7 Ir 2.65-2.75
Ir 0.1330 0.1023 0.3457  2 Fe 2.65-2.68, 7 Ir 2.69-2.76, 3 Rh 2.69-2.79
Ir 0.2671 0.7028 0.4514  8 Ir 2.67-2.74, 3 Rh 2.73-2.77, 1 Fe 2.75
Ir 0.4719 0.1030 0.8534  3 Rh 2.65-2.70, 5 Ir 2.66-2.74, 4 Fe 2.68-2.72
Rh 0.3305 0.4996 0.7587  3 Fe 2.65-2.72, 9 Ir 2.65-2.79



Arrangement b

The following is a PBE calculation of crystalline FeIr3Rh at its relaxed geometry, from Alexandria via LeMat-Bulk.

- total magnetic moment (μB per cell) = 8.53
- DOS at the Fermi energy (states/eV/cell) = 23.4

Cell lengths 2.6915, 13.7318, 8.4521 Å; angles 90.00, 90.00, 90.00 degrees
Last column: nearest neighbours and their distance in Å.
Space group Cmcm (No. 63)
Symmetry-distinct sites (fractional):
Fe 0.0000 0.2262 0.2500  8 Ir 2.60-2.67, 2 Fe 2.69, 2 Rh 2.73
Ir 0.0000 0.1061 0.7500  2 Rh 2.57, 2 Fe 2.67, 6 Ir 2.68-2.69
Ir 0.0000 0.3330 0.5056  1 Rh 2.59, 3 Fe 2.60-2.61, 6 Ir 2.65-2.69
Rh 0.0000 0.4465 0.7500  4 Ir 2.57-2.59, 2 Rh 2.69, 2 Fe 2.73



Arrangement c

The following is a PBE calculation of crystalline FeIr3Rh at its relaxed geometry, from Alexandria via LeMat-Bulk.

- total magnetic moment (μB per cell) = 0.00
- DOS at the Fermi energy (states/eV/cell) = 7.6

Cell lengths 4.3948, 4.3948, 4.3948 Å; angles 90.00, 90.00, 90.00 degrees
Last column: nearest neighbours and their distance in Å.
Space group Pm-3m (No. 221)
Symmetry-distinct sites (fractional):
Fe 0.0000 0.0000 0.0000  6 Ir 2.20
Ir 0.0000 0.0000 0.5000  2 Fe 2.20
Rh 0.5000 0.5000 0.5000  12 Ir 3.11



Least stable of them? arrangement c.



Arrangement a

The following is a PBE calculation of crystalline FeIrRh at its relaxed geometry, from Alexandria via LeMat-Bulk.

- total magnetic moment (μB per cell) = 14.87
- DOS at the Fermi energy (states/eV/cell) = 13.9

Cell lengths 2.7529, 4.6104, 13.2951 Å; angles 90.00, 90.00, 90.00 degrees
Last column: nearest neighbours and their distance in Å.
Space group Fmm2 (No. 42)
Symmetry-distinct sites (fractional):
Fe 0.0000 0.0000 0.0000  2 Rh 2.53, 2 Ir 2.54, 6 Fe 2.68-2.75
Ir 0.0000 0.0000 0.3396  2 Fe 2.54, 6 Ir 2.68-2.75, 2 Rh 2.76
Rh 0.0000 0.0000 0.6600  2 Fe 2.53, 6 Rh 2.68-2.75, 2 Ir 2.76



Arrangement b

The following is a PBE calculation of crystalline FeIrRh at its relaxed geometry, from Alexandria via LeMat-Bulk.

- total magnetic moment (μB per cell) = 9.76
- DOS at the Fermi energy (states/eV/cell) = 14.0

Cell lengths 7.9783, 3.9930, 5.7316 Å; angles 90.00, 90.00, 90.00 degrees
Last column: nearest neighbours and their distance in Å.
Space group Pnma (No. 62)
Symmetry-distinct sites (fractional):
Fe 0.1270 0.2500 0.2478  4 Rh 2.44-2.46, 4 Ir 2.46
Ir 0.1216 0.7500 0.4980  4 Fe 2.46
Rh 0.1257 0.7500 0.9984  4 Fe 2.44-2.46



Arrangement c

The following is a PBE calculation of crystalline FeIrRh at its relaxed geometry, from Alexandria via LeMat-Bulk.

- total magnetic moment (μB per cell) = 8.25
- DOS at the Fermi energy (states/eV/cell) = 18.1

Cell lengths 2.7135, 2.7135, 22.6285 Å; angles 90.00, 90.00, 90.00 degrees
Last column: nearest neighbours and their distance in Å.
Space group I4/mmm (No. 139)
Symmetry-distinct sites (fractional):
Fe 0.0000 0.0000 0.1285  4 Ir 2.53, 4 Rh 2.61, 4 Fe 2.71
Ir 0.0000 0.0000 0.4445  5 Ir 2.51-2.71, 4 Fe 2.53
Rh 0.0000 0.0000 0.2935  4 Fe 2.61, 8 Rh 2.71-2.75



Arrangement d

The following is a PBE calculation of crystalline FeIrRh at its relaxed geometry, from Alexandria via LeMat-Bulk.

- total magnetic moment (μB per cell) = 2.67
- DOS at the Fermi energy (states/eV/cell) = 3.5

Cell lengths 2.7009, 2.7009, 6.4846 Å; angles 90.00, 90.00, 120.00 degrees
Last column: nearest neighbours and their distance in Å.
Space group P3m1 (No. 156)
Symmetry-distinct sites (fractional):
Fe 0.0000 0.0000 0.0000  3 Ir 2.60, 3 Rh 2.62, 6 Fe 2.70
Ir 0.6667 0.3333 0.3209  3 Fe 2.60, 6 Ir 2.70, 3 Rh 2.78
Rh 0.3333 0.6667 0.6762  3 Fe 2.62, 6 Rh 2.70, 3 Ir 2.78



Least stable of them? arrangement b.



Arrangement a

The following is a PBE calculation of crystalline FeIr2Rh5 at its relaxed geometry, from Alexandria via LeMat-Bulk.

- total magnetic moment (μB per cell) = 16.19
- DOS at the Fermi energy (states/eV/cell) = 47.8

Cell lengths 6.5906, 6.5906, 10.9253 Å; angles 90.00, 90.00, 90.00 degrees
Last column: nearest neighbours and their distance in Å.
Space group I4/mcm (No. 140)
Symmetry-distinct sites (fractional):
Fe 0.0000 0.0000 0.2500  10 Rh 2.67-2.73
Ir 0.1355 0.3645 0.0000  1 Ir 2.53, 8 Rh 2.56-2.70
Rh 0.0000 0.0000 0.0000  4 Ir 2.56, 2 Fe 2.73
Rh 0.1513 0.3487 0.3333  4 Rh 2.59-2.82, 3 Ir 2.63-2.70, 2 Fe 2.67



Arrangement b

The following is a PBE calculation of crystalline FeIr2Rh5 at its relaxed geometry, from Alexandria via LeMat-Bulk.

- total magnetic moment (μB per cell) = 6.66
- DOS at the Fermi energy (states/eV/cell) = 17.7

Cell lengths 3.8367, 3.8367, 15.3081 Å; angles 90.00, 90.00, 90.00 degrees
Last column: nearest neighbours and their distance in Å.
Space group I4/mmm (No. 139)
Symmetry-distinct sites (fractional):
Fe 0.0000 0.0000 0.0000  12 Rh 2.71
Ir 0.0000 0.0000 0.2507  8 Rh 2.71-2.72, 4 Ir 2.71
Rh 0.0000 0.0000 0.5000  8 Rh 2.71, 4 Fe 2.71
Rh 0.0000 0.5000 0.1246  6 Rh 2.71, 2 Fe 2.71, 4 Ir 2.71-2.72



Least stable of them? arrangement a.



Arrangement a

The following is a PBE calculation of crystalline FeIr5Rh2 at its relaxed geometry, from Alexandria via LeMat-Bulk.

- total magnetic moment (μB per cell) = 5.38
- DOS at the Fermi energy (states/eV/cell) = 20.6

Cell lengths 5.4435, 10.8693, 3.8327 Å; angles 90.00, 90.00, 90.00 degrees
Last column: nearest neighbours and their distance in Å.
Space group Pbam (No. 55)
Symmetry-distinct sites (fractional):
Fe 0.0000 0.0000 0.0000  8 Ir 2.70-2.72, 4 Rh 2.70
Ir 0.0000 0.5000 0.0000  4 Rh 2.72, 6 Ir 2.72, 2 Fe 2.72
Ir 0.0010 0.2500 0.0000  7 Ir 2.71-2.73, 4 Rh 2.71-2.73, 1 Fe 2.72
Ir 0.2459 0.8758 0.5000  4 Rh 2.69-2.76, 2 Fe 2.70, 6 Ir 2.71-2.73
Rh 0.2478 0.1242 0.5000  10 Ir 2.69-2.76, 2 Fe 2.70



Arrangement b

The following is a PBE calculation of crystalline FeIr5Rh2 at its relaxed geometry, from Alexandria via LeMat-Bulk.

- total magnetic moment (μB per cell) = 4.29
- DOS at the Fermi energy (states/eV/cell) = 21.1

Cell lengths 3.8418, 3.8418, 15.3261 Å; angles 90.00, 90.00, 90.00 degrees
Last column: nearest neighbours and their distance in Å.
Space group I4/mmm (No. 139)
Symmetry-distinct sites (fractional):
Fe 0.0000 0.0000 0.0000  12 Ir 2.69-2.72
Ir 0.0000 0.0000 0.5000  8 Ir 2.69, 4 Fe 2.72
Ir 0.0000 0.5000 0.1227  2 Fe 2.69, 6 Ir 2.69-2.72, 4 Rh 2.73-2.75
Rh 0.0000 0.0000 0.2493  4 Rh 2.72, 8 Ir 2.73-2.75



Least stable of them? arrangement a.